# 1
! LaNiRu | the Alexandria database | PBE | optimized geometry; values from VASP
&SYSTEM
  ibrav = 0, nat = 3, ntyp = 3
/
ATOMIC_SPECIES
La 138.91 La.upf
Ni 58.69 Ni.upf
Ru 101.07 Ru.upf
CELL_PARAMETERS angstrom
3.428 0.000 -0.038
0.002 3.544 0.032
1.286 1.726 4.746
ATOMIC_POSITIONS crystal
La 0.820 0.590 0.346
Ni 0.555 0.301 0.924
Ru 0.134 0.868 0.788
! - Energy of formation from the pure elements: 0.055 eV per atom
! - Symmetry: Cm, No. 8

=====

# 2
! LaNiRu | the Alexandria database | PBE | optimized geometry; values from VASP
&SYSTEM
  ibrav = 0, nat = 12, ntyp = 3
/
ATOMIC_SPECIES
La 138.91 La.upf
Ni 58.69 Ni.upf
Ru 101.07 Ru.upf
CELL_PARAMETERS angstrom
-4.787 0.450 2.938
-1.328 -3.596 -1.613
7.498 -5.428 5.926
ATOMIC_POSITIONS crystal
La 0.707 0.000 0.887
La 0.293 0.000 0.113
La 0.707 0.500 0.387
La 0.293 0.500 0.613
Ni 0.122 0.000 0.785
Ni 0.878 0.000 0.215
Ni 0.122 0.500 0.285
Ni 0.878 0.500 0.715
Ru 0.317 0.000 0.398
Ru 0.683 0.000 0.602
Ru 0.317 0.500 0.898
Ru 0.683 0.500 0.102
! - Energy of formation from the pure elements: -0.155 eV per atom
! - Symmetry: C2/m, No. 12

=====

# 3
! LaNiRu | the Alexandria database | PBE | optimized geometry; values from VASP
&SYSTEM
  ibrav = 0, nat = 3, ntyp = 3
/
ATOMIC_SPECIES
La 138.91 La.upf
Ni 58.69 Ni.upf
Ru 101.07 Ru.upf
CELL_PARAMETERS angstrom
-0.110 2.191 3.516
-3.487 -1.633 -1.533
0.671 -3.498 2.201
ATOMIC_POSITIONS crystal
La 0.333 0.667 0.500
Ni 0.667 0.333 0.000
Ru 0.000 0.000 0.000
! - Energy of formation from the pure elements: -0.124 eV per atom
! - Symmetry: P-6m2, No. 187

=====

# 4
! LaNiRu | the Alexandria database | PBE | optimized geometry; values from VASP
&SYSTEM
  ibrav = 0, nat = 6, ntyp = 3
/
ATOMIC_SPECIES
La 138.91 La.upf
Ni 58.69 Ni.upf
Ru 101.07 Ru.upf
CELL_PARAMETERS angstrom
-0.473 4.478 -2.383
-3.076 -1.795 -2.762
-3.441 -0.295 4.024
ATOMIC_POSITIONS crystal
La 0.742 0.250 0.441
La 0.258 0.750 0.559
Ni 0.569 0.250 0.902
Ni 0.431 0.750 0.098
Ru 0.116 0.250 0.009
Ru 0.884 0.750 0.991
! - Energy of formation from the pure elements: -0.171 eV per atom
! - Symmetry: P2_1/m, No. 11

=====

# 5
! La2Ni3Ru | the Alexandria database | PBE | optimized geometry; values from VASP
&SYSTEM
  ibrav = 0, nat = 6, ntyp = 3
/
ATOMIC_SPECIES
La 138.91 La.upf
Ni 58.69 Ni.upf
Ru 101.07 Ru.upf
CELL_PARAMETERS angstrom
-0.010 -3.925 -1.865
4.480 -1.153 2.401
-4.898 0.622 3.781
ATOMIC_POSITIONS crystal
La 0.679 0.179 0.358
La 0.321 0.821 0.642
Ni 0.387 0.387 0.774
Ni 0.000 0.000 0.000
Ni 0.613 0.613 0.226
Ru 0.000 0.500 0.000
! - Energy of formation from the pure elements: 0.002 eV per atom
! - Symmetry: Immm, No. 71

=====

# 6
! La2Ni2Ru | the Alexandria database | PBE | optimized geometry; values from VASP
&SYSTEM
  ibrav = 0, nat = 10, ntyp = 3
/
ATOMIC_SPECIES
La 138.91 La.upf
Ni 58.69 Ni.upf
Ru 101.07 Ru.upf
CELL_PARAMETERS angstrom
-1.433 1.641 4.664
-3.486 -3.073 2.214
4.932 -4.749 5.006
ATOMIC_POSITIONS crystal
La 0.464 0.222 0.156
La 0.778 0.536 0.344
La 0.536 0.778 0.844
La 0.222 0.464 0.656
Ni 0.755 0.005 0.499
Ni 0.995 0.245 0.001
Ni 0.245 0.995 0.501
Ni 0.005 0.755 0.999
Ru 0.127 0.873 0.250
Ru 0.873 0.127 0.750
! - Energy of formation from the pure elements: -0.267 eV per atom
! - Symmetry: C2/c, No. 15
! - Energy above the lowest structure with this stoichiometry: 0 meV/atom

=====

# 7
! La2NiRu | the Alexandria database | PBE | optimized geometry; values from VASP
&SYSTEM
  ibrav = 0, nat = 4, ntyp = 3
/
ATOMIC_SPECIES
La 138.91 La.upf
Ni 58.69 Ni.upf
Ru 101.07 Ru.upf
CELL_PARAMETERS angstrom
5.071 0.002 -0.031
-0.001 5.071 -0.031
0.021 0.021 3.496
ATOMIC_POSITIONS crystal
La 0.000 0.000 0.000
La 0.500 0.500 0.000
Ni 0.500 0.000 0.500
Ru 0.000 0.500 0.500
! - Energy of formation from the pure elements: -0.187 eV per atom
! - Symmetry: P4/mmm, No. 123

=====

# 8
! La3NiRu | the Alexandria database | PBE | optimized geometry; values from VASP
&SYSTEM
  ibrav = 0, nat = 5, ntyp = 3
/
ATOMIC_SPECIES
Ru 101.07 Ru.upf
Ni 58.69 Ni.upf
La 138.91 La.upf
CELL_PARAMETERS angstrom
5.430 0.000 0.000
0.000 5.430 0.000
0.000 0.000 5.430
ATOMIC_POSITIONS crystal
Ru 0.000 0.000 0.000
Ni 0.500 0.500 0.500
La 0.000 0.500 0.000
La 0.000 0.000 0.500
La 0.500 0.000 0.000
! - Energy of formation from the pure elements: 0.143 eV per atom
! - Symmetry: Pm-3m, No. 221
! - Energy above the lowest structure with this stoichiometry: 386 meV/atom

=====

# 9
! LaNiRu | the Alexandria database | PBE | optimized geometry; values from VASP
&SYSTEM
  ibrav = 0, nat = 3, ntyp = 3
/
ATOMIC_SPECIES
La 138.91 La.upf
Ni 58.69 Ni.upf
Ru 101.07 Ru.upf
CELL_PARAMETERS angstrom
-2.869 0.111 0.652
1.873 -1.357 1.823
1.039 6.167 3.525
ATOMIC_POSITIONS crystal
La 0.000 0.000 0.002
Ni 0.667 0.333 0.370
Ru 0.333 0.667 0.628
! - Energy of formation from the pure elements: 0.632 eV per atom
! - Symmetry: P3m1, No. 156

=====

# 10
! La8NiRu3 | the Alexandria database | PBE | optimized geometry; values from VASP
&SYSTEM
  ibrav = 0, nat = 12, ntyp = 3
/
ATOMIC_SPECIES
La 138.91 La.upf
Ni 58.69 Ni.upf
Ru 101.07 Ru.upf
CELL_PARAMETERS angstrom
-3.534 4.377 -0.576
0.273 -0.974 -9.078
-4.703 -7.010 3.344
ATOMIC_POSITIONS crystal
La 0.447 0.653 0.894
La 0.343 0.001 0.685
La 0.883 0.316 0.766
La 0.226 0.330 0.451
La 0.772 0.665 0.544
La 0.119 0.685 0.238
La 0.558 0.340 0.115
La 0.658 0.006 0.315
Ni 0.288 0.681 0.576
Ru 0.395 0.291 0.790
Ru 0.707 0.304 0.413
Ru 0.605 0.697 0.209
! - Energy of formation from the pure elements: -0.188 eV per atom
! - Symmetry: Cm, No. 8

=====

# 11
! La2NiRu | the Alexandria database | PBE | optimized geometry; values from VASP
&SYSTEM
  ibrav = 0, nat = 4, ntyp = 3
/
ATOMIC_SPECIES
La 138.91 La.upf
Ni 58.69 Ni.upf
Ru 101.07 Ru.upf
CELL_PARAMETERS angstrom
4.862 0.000 0.000
2.431 4.211 0.000
2.431 1.404 3.970
ATOMIC_POSITIONS crystal
La 0.000 0.000 0.000
La 0.250 0.250 0.250
Ni 0.500 0.500 0.500
Ru 0.750 0.750 0.750
! - Energy of formation from the pure elements: 0.057 eV per atom
! - Symmetry: F-43m, No. 216

=====

# 12
! LaNiRu | the Alexandria database | PBE | optimized geometry; values from VASP
&SYSTEM
  ibrav = 0, nat = 6, ntyp = 3
/
ATOMIC_SPECIES
La 138.91 La.upf
Ru 101.07 Ru.upf
Ni 58.69 Ni.upf
CELL_PARAMETERS angstrom
4.269 0.978 -0.033
-0.972 4.270 0.033
-1.591 -2.661 6.298
ATOMIC_POSITIONS crystal
La 0.156 0.655 0.811
La 0.844 0.345 0.189
Ru 0.000 0.000 0.500
Ru 0.500 0.500 0.500
Ni 0.400 0.900 0.300
Ni 0.600 0.100 0.700
! - Energy of formation from the pure elements: -0.178 eV per atom
! - Symmetry: Fmmm, No. 69

=====

# 13
! La2NiRu | the Alexandria database | PBE | optimized geometry; values from VASP
&SYSTEM
  ibrav = 0, nat = 4, ntyp = 3
/
ATOMIC_SPECIES
La 138.91 La.upf
Ni 58.69 Ni.upf
Ru 101.07 Ru.upf
CELL_PARAMETERS angstrom
6.596 0.115 0.205
5.485 3.665 0.205
1.203 0.376 3.999
ATOMIC_POSITIONS crystal
La 0.013 0.013 0.987
La 0.236 0.236 0.264
Ni 0.446 0.446 0.554
Ru 0.805 0.805 0.694
! - Energy of formation from the pure elements: -0.142 eV per atom
! - Symmetry: Imm2, No. 44

=====

# 14
! La2NiRu | the Alexandria database | PBE | optimized geometry; values from VASP
&SYSTEM
  ibrav = 0, nat = 4, ntyp = 3
/
ATOMIC_SPECIES
Ru 101.07 Ru.upf
Ni 58.69 Ni.upf
La 138.91 La.upf
CELL_PARAMETERS angstrom
3.517 0.000 0.000
0.000 3.528 0.160
0.000 3.210 7.385
ATOMIC_POSITIONS crystal
Ru 0.500 0.750 0.750
Ni 0.500 0.250 0.250
La 0.000 0.002 0.998
La 0.000 0.498 0.502
! - Energy of formation from the pure elements: -0.212 eV per atom
! - Symmetry: P2/m, No. 10

=====

# 15
! LaNiRu | the Alexandria database | PBE | optimized geometry; values from VASP
&SYSTEM
  ibrav = 0, nat = 12, ntyp = 3
/
ATOMIC_SPECIES
La 138.91 La.upf
Ni 58.69 Ni.upf
Ru 101.07 Ru.upf
CELL_PARAMETERS angstrom
-0.800 -4.753 -0.244
4.145 -0.639 -1.136
2.859 -1.047 11.027
ATOMIC_POSITIONS crystal
La 0.000 0.250 0.373
La 0.000 0.750 0.627
La 0.500 0.750 0.873
La 0.500 0.250 0.127
Ni 0.250 0.250 0.750
Ni 0.250 0.750 0.250
Ni 0.750 0.750 0.250
Ni 0.750 0.250 0.750
Ru 0.000 0.250 0.948
Ru 0.000 0.750 0.052
Ru 0.500 0.750 0.448
Ru 0.500 0.250 0.552
! - Energy of formation from the pure elements: -0.177 eV per atom
! - Symmetry: Imma, No. 74

=====

# 16
! La2NiRu | the Alexandria database | PBE | optimized geometry; values from VASP
&SYSTEM
  ibrav = 0, nat = 8, ntyp = 3
/
ATOMIC_SPECIES
Ru 101.07 Ru.upf
Ni 58.69 Ni.upf
La 138.91 La.upf
CELL_PARAMETERS angstrom
-5.374 -1.682 -5.010
1.459 -7.340 0.899
-4.135 -4.652 0.328
ATOMIC_POSITIONS crystal
Ru 0.000 0.000 0.000
Ru 0.750 0.250 0.500
Ni 0.500 0.500 0.000
Ni 0.250 0.750 0.500
La 0.631 0.125 0.250
La 0.119 0.625 0.250
La 0.375 0.369 0.750
La 0.875 0.881 0.750
! - Energy of formation from the pure elements: 0.002 eV per atom
! - Symmetry: I-42d, No. 122

=====

# 17
! La6NiRu | the Alexandria database | PBE | optimized geometry; values from VASP
&SYSTEM
  ibrav = 0, nat = 8, ntyp = 3
/
ATOMIC_SPECIES
La 138.91 La.upf
Ni 58.69 Ni.upf
Ru 101.07 Ru.upf
CELL_PARAMETERS angstrom
6.301 0.000 1.856
-3.169 6.551 3.010
-0.037 0.000 7.875
ATOMIC_POSITIONS crystal
La 0.158 0.703 0.000
La 0.454 0.297 0.703
La 0.842 0.297 0.000
La 0.842 0.000 0.703
La 0.546 0.703 0.297
La 0.158 0.000 0.297
Ni 0.000 0.000 0.000
Ru 0.500 0.000 0.000
! - Energy of formation from the pure elements: 0.114 eV per atom
! - Symmetry: R-3m, No. 166

=====

# 18
! LaNiRu | the Alexandria database | PBE | optimized geometry; values from VASP
&SYSTEM
  ibrav = 0, nat = 12, ntyp = 3
/
ATOMIC_SPECIES
La 138.91 La.upf
Ni 58.69 Ni.upf
Ru 101.07 Ru.upf
CELL_PARAMETERS angstrom
4.244 0.000 0.000
0.000 8.369 0.000
0.000 0.000 7.100
ATOMIC_POSITIONS crystal
La 0.000 0.000 0.000
La 0.000 0.500 0.000
La 0.500 0.500 0.500
La 0.500 0.000 0.500
Ni 0.000 0.250 0.673
Ni 0.000 0.750 0.327
Ni 0.500 0.750 0.173
Ni 0.500 0.250 0.827
Ru 0.000 0.250 0.329
Ru 0.000 0.750 0.671
Ru 0.500 0.750 0.829
Ru 0.500 0.250 0.171
! - Energy of formation from the pure elements: -0.167 eV per atom
! - Symmetry: Imma, No. 74

=====

# 19
! La3NiRu | the Alexandria database | PBE | optimized geometry; values from VASP
&SYSTEM
  ibrav = 0, nat = 10, ntyp = 3
/
ATOMIC_SPECIES
La 138.91 La.upf
Ni 58.69 Ni.upf
Ru 101.07 Ru.upf
CELL_PARAMETERS angstrom
3.968 0.000 0.001
0.000 6.626 0.004
-0.001 -0.005 10.008
ATOMIC_POSITIONS crystal
La 0.250 0.760 0.564
La 0.250 0.252 0.750
La 0.250 0.760 0.936
La 0.750 0.240 0.436
La 0.750 0.240 0.064
La 0.750 0.748 0.250
Ni 0.750 0.562 0.750
Ni 0.250 0.438 0.250
Ru 0.250 0.044 0.250
Ru 0.750 0.956 0.750
! - Energy of formation from the pure elements: -0.242 eV per atom
! - Symmetry: Pmmn, No. 59
! - Energy above the lowest structure with this stoichiometry: 0 meV/atom

=====

# 20
! LaNiRu | the Alexandria database | PBE | optimized geometry; values from VASP
&SYSTEM
  ibrav = 0, nat = 6, ntyp = 3
/
ATOMIC_SPECIES
La 138.91 La.upf
Ni 58.69 Ni.upf
Ru 101.07 Ru.upf
CELL_PARAMETERS angstrom
4.336 -0.007 0.000
-0.727 4.322 0.000
-1.786 -2.087 6.592
ATOMIC_POSITIONS crystal
La 0.099 0.382 0.785
La 0.413 0.700 0.410
Ni 0.830 0.123 0.303
Ni 0.233 0.063 0.109
Ru 0.619 0.918 0.914
Ru 0.780 0.523 0.100
! - Energy of formation from the pure elements: -0.110 eV per atom
! - Symmetry: P1, No. 1